Computed, not measured: an optimized crystal structure of AsP2W at the PBE level of DFT.

a b c (Å): 4.441 4.441 3.094
angles (deg): 90.00 90.00 102.52
Positions (direct):
As: 0.000 0.500 0.500
P: 0.000 0.000 0.000
P: 0.500 0.500 0.000
W: 0.500 0.000 0.500

Values from the calculation:
**Energy of formation from the pure elements**: 2.3 eV per formula unit
**Magnetic moment**: 0.00 μB per cell